Density functional theory data (GGA-PBE) for a relaxed SmHfNi4 crystal.

As for the energy relative to the elements: -0.35 eV/atom.

The structure belongs to space group F-43m (No. 216); the cell edges are 7.099, 7.099 and 7.099 Å and the angles 90.00°, 90.00° and 90.00°. The inequivalent atoms are Sm at (0.000, 0.000, 0.000), Hf at (0.250, 0.250, 0.750) and Ni at (0.124, 0.124, 0.376).